# CaAlCu2

A relaxed structure of CaAlCu2 (GGA-PBEsol, Alexandria via LeMat-Bulk). Values from VASP.

Computed properties:
Its density of states at the Fermi level is 0.496 states/eV per atom. The electronic total energy is -15.51 eV for the cell shown. Its formation energy is -0.155 eV/atom.

Quantum ESPRESSO input file:
```
&SYSTEM
  ibrav = 0, nat = 4, ntyp = 3
/
ATOMIC_SPECIES
Ca 40.08 Ca.upf
Al 26.98 Al.upf
Cu 63.55 Cu.upf
ATOMIC_POSITIONS crystal
Ca 0.7474 0.7474 0.7570
Al 0.5545 0.5545 0.3366
Cu 0.9411 0.9411 0.1774
Cu 0.2570 0.2570 0.2290
CELL_PARAMETERS angstrom
-1.5727 2.5011 2.9404
-0.9426 -1.5375 3.7579
3.8799 1.3873 3.8626
```